Density functional theory data (PBE-GGA) for a relaxed structure of Ta3Mo.

abc: 3.2648 4.6135 18.6425
angles: 90.00 90.00 90.00
Last column: nearest neighbours and their distance in Å.
Atoms (fractional coordinates):
Ta 0.0000 0.2500 0.0605  8 Ta 2.83-2.88
Ta 0.0000 0.2500 0.3129  4 Mo 2.83, 4 Ta 2.86-2.87
Ta 0.0000 0.2500 0.5670  2 Mo 2.82, 6 Ta 2.83-2.88
Ta 0.0000 0.7500 0.4330  2 Mo 2.82, 6 Ta 2.83-2.88
Ta 0.0000 0.7500 0.6871  4 Mo 2.83, 4 Ta 2.86-2.87
Ta 0.0000 0.7500 0.9395  8 Ta 2.83-2.88
Ta 0.5000 0.2500 0.1871  4 Mo 2.83, 4 Ta 2.86-2.87
Ta 0.5000 0.2500 0.4395  8 Ta 2.83-2.88
Ta 0.5000 0.2500 0.9330  2 Mo 2.82, 6 Ta 2.83-2.88
Ta 0.5000 0.7500 0.0670  2 Mo 2.82, 6 Ta 2.83-2.88
Ta 0.5000 0.7500 0.5605  8 Ta 2.83-2.88
Ta 0.5000 0.7500 0.8129  4 Mo 2.83, 4 Ta 2.86-2.87
Mo 0.0000 0.2500 0.8096  2 Mo 2.76, 6 Ta 2.82-2.83
Mo 0.0000 0.7500 0.1904  2 Mo 2.76, 6 Ta 2.82-2.83
Mo 0.5000 0.2500 0.6904  2 Mo 2.76, 6 Ta 2.82-2.83
Mo 0.5000 0.7500 0.3096  2 Mo 2.76, 6 Ta 2.82-2.83

Calculated values
Density of states at the Fermi level: 17.974 states/eV per cell
Polymorph energy (0 for the lowest one): 3.7 kJ per mole of atoms
M_tot: 0.00 μB/f.u.

---

Density functional theory data (PBE-GGA) for a relaxed structure of TaMo4.

abc: 3.1865 3.1865 16.0311
angles: 90.00 90.00 90.00
Last column: nearest neighbours and their distance in Å.
Atoms (fractional coordinates):
Ta 0.0000 0.0000 0.0000  8 Mo 2.80
Ta 0.5000 0.5000 0.5000  8 Mo 2.80
Mo 0.0000 0.0000 0.1994  8 Mo 2.73-2.78
Mo 0.0000 0.0000 0.3964  4 Mo 2.73, 4 Ta 2.80
Mo 0.0000 0.0000 0.6036  4 Mo 2.73, 4 Ta 2.80
Mo 0.0000 0.0000 0.8006  8 Mo 2.73-2.78
Mo 0.5000 0.5000 0.1036  4 Mo 2.73, 4 Ta 2.80
Mo 0.5000 0.5000 0.3006  8 Mo 2.73-2.78
Mo 0.5000 0.5000 0.6994  8 Mo 2.73-2.78
Mo 0.5000 0.5000 0.8964  4 Mo 2.73, 4 Ta 2.80

Calculated values
Density of states at the Fermi level: 3.777 states/eV per cell
Polymorph energy (0 for the lowest one): 0.0 kJ per mole of atoms
M_tot: 0.00 μB/f.u.

---

Density functional theory data (PBE-GGA) for a relaxed structure of Ta3Mo4.

abc: 18.4121 4.5480 2.8212
angles: 90.00 96.24 90.00
Last column: nearest neighbours and their distance in Å.
Atoms (fractional coordinates):
Ta 0.0000 0.0000 0.0000  6 Ta 2.82-2.83, 2 Mo 2.83
Ta 0.0752 0.5000 0.7103  3 Mo 2.75-2.78, 5 Ta 2.82-2.89
Ta 0.4248 0.0000 0.2897  3 Mo 2.75-2.78, 5 Ta 2.82-2.89
Ta 0.5000 0.5000 0.0000  6 Ta 2.82-2.83, 2 Mo 2.83
Ta 0.5752 0.0000 0.7103  3 Mo 2.75-2.78, 5 Ta 2.82-2.89
Ta 0.9248 0.5000 0.2897  3 Mo 2.75-2.78, 5 Ta 2.82-2.89
Mo 0.1462 0.0000 0.4313  5 Mo 2.68-2.82, 3 Ta 2.78-2.83
Mo 0.2161 0.5000 0.1487  7 Mo 2.68-2.82, 1 Ta 2.75
Mo 0.2839 0.0000 0.8513  7 Mo 2.68-2.82, 1 Ta 2.75
Mo 0.3538 0.5000 0.5687  5 Mo 2.68-2.82, 3 Ta 2.78-2.83
Mo 0.6462 0.5000 0.4313  5 Mo 2.68-2.82, 3 Ta 2.78-2.83
Mo 0.7161 0.0000 0.1487  7 Mo 2.68-2.82, 1 Ta 2.75
Mo 0.7839 0.5000 0.8513  7 Mo 2.68-2.82, 1 Ta 2.75
Mo 0.8538 0.0000 0.5687  5 Mo 2.68-2.82, 3 Ta 2.78-2.83

Calculated values
Total DFT energy (no corrections): -79.51 eV/f.u.
Density of states at the Fermi level: 8.335 states/eV per cell
M_tot: 0.00 μB/f.u.

---

Density functional theory data (PBE-GGA) for a relaxed structure of Ta3Mo.

abc: 4.1715 4.1715 4.1715
angles: 90.00 90.00 90.00
Last column: nearest neighbours and their distance in Å.
Atoms (fractional coordinates):
Ta 0.0000 0.0000 0.5000  8 Ta 2.95, 4 Mo 2.95
Ta 0.0000 0.5000 0.0000  8 Ta 2.95, 4 Mo 2.95
Ta 0.5000 0.0000 0.0000  8 Ta 2.95, 4 Mo 2.95
Mo 0.5000 0.5000 0.5000  12 Ta 2.95

Calculated values
Density of states at the Fermi level: 3.815 states/eV per cell
Polymorph energy (0 for the lowest one): 38.5 kJ per mole of atoms
M_tot: 0.00 μB/f.u.

---

Density functional theory data (PBE-GGA) for a relaxed structure of TaMo4.

abc: 7.1416 7.1416 3.1858
angles: 90.00 90.00 90.00
Last column: nearest neighbours and their distance in Å.
Atoms (fractional coordinates):
Ta 0.0000 0.0000 0.0000  8 Mo 2.78
Ta 0.5000 0.5000 0.5000  8 Mo 2.78
Mo 0.1009 0.6970 0.5000  6 Mo 2.74-2.77, 2 Ta 2.78
Mo 0.1969 0.3991 0.0000  6 Mo 2.74-2.77, 2 Ta 2.78
Mo 0.3030 0.1009 0.5000  6 Mo 2.74-2.77, 2 Ta 2.78
Mo 0.3991 0.8030 0.0000  6 Mo 2.74-2.77, 2 Ta 2.78
Mo 0.6009 0.1969 0.0000  6 Mo 2.74-2.77, 2 Ta 2.78
Mo 0.6970 0.8991 0.5000  6 Mo 2.74-2.77, 2 Ta 2.78
Mo 0.8030 0.6009 0.0000  6 Mo 2.74-2.77, 2 Ta 2.78
Mo 0.8991 0.3030 0.5000  6 Mo 2.74-2.77, 2 Ta 2.78

Calculated values
Density of states at the Fermi level: 4.157 states/eV per cell
Polymorph energy (0 for the lowest one): 0.5 kJ per mole of atoms
M_tot: 0.00 μB/f.u.

---

Density functional theory data (PBE-GGA) for a relaxed structure of Ta3Mo5.

abc: 3.2076 4.5792 9.0549
angles: 90.00 90.00 90.00
Last column: nearest neighbours and their distance in Å.
Atoms (fractional coordinates):
Ta 0.0000 0.0000 0.0000  6 Mo 2.77-2.80, 2 Ta 2.87
Ta 0.0000 0.5000 0.2573  4 Ta 2.80, 4 Mo 2.80-2.83
Ta 0.5000 0.0000 0.2624  2 Mo 2.77, 6 Ta 2.80-2.87
Mo 0.0000 0.0000 0.5124  6 Mo 2.69-2.80, 2 Ta 2.77
Mo 0.0000 0.5000 0.7549  8 Mo 2.73-2.80
Mo 0.5000 0.0000 0.7504  6 Mo 2.69-2.80, 2 Ta 2.77
Mo 0.5000 0.5000 0.9997  2 Mo 2.74, 6 Ta 2.80-2.83
Mo 0.5000 0.5000 0.5113  6 Mo 2.73-2.80, 2 Ta 2.80

Calculated values
Density of states at the Fermi level: 5.355 states/eV per cell
Polymorph energy (0 for the lowest one): 8.1 kJ per mole of atoms
M_tot: 0.00 μB/f.u.